No. 1
Crystalline SmTeCl at its relaxed geometry, computed with PBE.

Computed properties:
- formation energy from raw total energies (eV per atom) = -1.720
- SG = I-4m2

Cell and atoms, written as POSCAR:
```
SmTeCl
1.0
-2.109 2.109 11.191
2.109 -2.109 11.191
2.109 2.109 -11.191
Sm Te Cl
2 2 2
direct
0.150 0.150 0.000
0.850 0.850 0.000
0.299 0.299 0.000
0.701 0.701 0.000
0.568 0.068 0.500
0.932 0.432 0.500
```


No. 2
Crystalline LaAl2Ni at its relaxed geometry, computed with PBE.

Computed properties:
- SG = R-3m
- E_form (eV/atom) = -0.506

Cell and atoms, written as POSCAR:
```
LaAl2Ni
1.0
2.076 1.198 5.572
-2.076 1.198 5.572
0.000 -2.397 5.572
La Al Ni
1 2 1
direct
0.000 0.000 0.000
0.203 0.203 0.203
0.797 0.797 0.797
0.500 0.500 0.500
```


No. 3
Crystalline Hf2ScIn at its relaxed geometry, computed with PBE.

Computed properties:
- SG = P2_1/m
- E_form (eV/atom) = -0.152

Cell and atoms, written as POSCAR:
```
Hf2ScIn
1.0
4.180 0.000 0.000
0.000 4.418 0.000
-2.075 0.000 10.323
Hf Sc In
4 2 2
direct
0.052 0.250 0.105
0.447 0.250 0.893
0.553 0.750 0.107
0.948 0.750 0.895
0.312 0.750 0.621
0.688 0.250 0.379
0.163 0.750 0.330
0.837 0.250 0.670
```


No. 4
Crystalline BaSn2GeO8 at its relaxed geometry, computed with PBE.

Computed properties:
- formation energy from raw total energies (eV per atom) = -1.476
- SG = P-1

Cell and atoms, written as POSCAR:
```
BaSn2GeO8
1.0
4.617 0.000 0.000
-0.145 4.675 0.000
-0.053 -0.423 7.945
Ba Sn Ge O
1 2 1 8
direct
0.000 0.000 0.000
0.497 0.519 0.687
0.503 0.481 0.313
0.000 0.000 0.500
0.185 0.177 0.311
0.193 0.209 0.703
0.287 0.716 0.498
0.492 0.369 0.050
0.508 0.631 0.950
0.713 0.284 0.502
0.807 0.791 0.297
0.815 0.823 0.689
```


No. 5
Crystalline NaN2Cl at its relaxed geometry, computed with PBE.

Computed properties:
- formation energy from raw total energies (eV per atom) = 2.182
- SG = Fm-3m
- relative energy among the computed polymorphs (meV/atom) = 3020

Cell and atoms, written as POSCAR:
```
NaN2Cl
1.0
0.000 2.943 2.943
2.943 0.000 2.943
2.943 2.943 0.000
Na N Cl
1 2 1
direct
0.000 0.000 0.000
0.250 0.250 0.250
0.750 0.750 0.750
0.500 0.500 0.500
```


No. 6
Crystalline ZrSnMo3 at its relaxed geometry, computed with PBE.

Computed properties:
- SG = Pm-3m
- relative energy among the computed polymorphs (meV/atom) = 0
- E_form (eV/atom) = 1.800

Cell and atoms, written as POSCAR:
```
ZrSnMo3
1.0
4.876 0.000 0.000
0.000 4.876 0.000
0.000 0.000 4.876
Zr Sn Mo
1 1 3
direct
0.000 0.000 0.000
0.500 0.500 0.500
0.000 0.500 0.500
0.500 0.000 0.500
0.500 0.500 0.000
```


No. 7
Crystalline Te3Br at its relaxed geometry, computed with PBE.

Computed properties:
- formation energy from raw total energies (eV per atom) = 0.355
- SG = P4/mmm
- relative energy among the computed polymorphs (meV/atom) = 457

Cell and atoms, written as POSCAR:
```
Te3Br
1.0
5.020 0.000 0.000
0.000 5.020 0.000
0.000 0.000 4.399
Te Br
3 1
direct
0.000 0.000 0.000
0.000 0.500 0.500
0.500 0.000 0.500
0.500 0.500 0.000
```


No. 8
Crystalline Tl4Sn5S12 at its relaxed geometry, computed with PBE.

Computed properties:
- formation energy from raw total energies (eV per atom) = -0.381
- SG = P-1

Cell and atoms, written as POSCAR:
```
Tl4Sn5S12
1.0
7.509 0.000 0.000
-3.680 9.177 0.000
-0.072 -4.899 16.614
Tl Sn S
8 10 24
direct
0.083 0.342 0.384
0.127 0.021 0.859
0.185 0.739 0.300
0.399 0.042 0.146
0.601 0.958 0.854
0.815 0.261 0.700
0.873 0.979 0.141
0.917 0.658 0.616
0.187 0.628 0.949
0.191 0.078 0.581
0.316 0.381 0.058
0.382 0.531 0.730
0.487 0.177 0.400
0.513 0.823 0.600
0.618 0.469 0.270
0.684 0.619 0.942
0.809 0.922 0.419
0.813 0.372 0.051
0.027 0.825 0.479
0.029 0.821 0.984
0.162 0.586 0.093
0.175 0.056 0.325
0.193 0.664 0.804
0.232 0.262 0.721
0.291 0.349 0.202
0.309 0.943 0.672
0.329 0.418 0.912
0.376 0.551 0.593
0.462 0.180 0.007
0.482 0.791 0.456
0.518 0.209 0.544
0.538 0.820 0.993
0.624 0.449 0.407
0.671 0.582 0.088
0.691 0.057 0.328
0.709 0.651 0.798
0.768 0.738 0.279
0.807 0.336 0.196
0.825 0.944 0.675
0.838 0.414 0.907
0.971 0.179 0.016
0.973 0.175 0.521
```


No. 9
Crystalline TbSc2Sn at its relaxed geometry, computed with PBE.

Computed properties:
- SG = R-3m
- relative energy among the computed polymorphs (meV/atom) = 494
- E_form (eV/atom) = 0.031

Cell and atoms, written as POSCAR:
```
TbSc2Sn
1.0
1.659 0.958 11.221
-1.659 0.958 11.221
0.000 -1.915 11.221
Tb Sc Sn
1 2 1
direct
0.000 0.000 0.000
0.095 0.095 0.095
0.905 0.905 0.905
0.500 0.500 0.500
```


No. 10
Crystalline LiZrPa2N5 at its relaxed geometry, computed with PBE.

Computed properties:
- formation energy from raw total energies (eV per atom) = -1.291
- SG = Cmc2_1

Cell and atoms, written as POSCAR:
```
LiZrPa2N5
1.0
1.700 -6.523 0.000
1.700 6.523 0.000
0.000 0.000 10.372
Li Zr Pa N
2 2 4 10
direct
0.015 0.985 0.500
0.985 0.015 0.000
0.303 0.697 0.016
0.697 0.303 0.516
0.371 0.629 0.305
0.390 0.610 0.691
0.610 0.390 0.191
0.629 0.371 0.805
0.013 0.987 0.807
0.139 0.861 0.047
0.196 0.804 0.383
0.213 0.787 0.683
0.454 0.546 0.101
0.546 0.454 0.601
0.787 0.213 0.183
0.804 0.196 0.883
0.861 0.139 0.547
0.987 0.013 0.307
```


No. 11
Crystalline Pr8TlIn2 at its relaxed geometry, computed with PBE.

Computed properties:
- SG = Immm
- relative energy among the computed polymorphs (meV/atom) = 46
- E_form (eV/atom) = -0.191

Cell and atoms, written as POSCAR:
```
Pr8TlIn2
1.0
-2.729 3.860 8.586
2.729 -3.860 8.586
2.729 3.860 -8.586
Pr Tl In
8 1 2
direct
0.129 0.358 0.771
0.189 0.189 0.000
0.270 0.000 0.270
0.414 0.642 0.771
0.586 0.358 0.229
0.730 0.000 0.730
0.811 0.811 0.000
0.871 0.642 0.229
0.000 0.500 0.500
0.312 0.812 0.500
0.688 0.188 0.500
```


No. 12
Crystalline Pt2W at its relaxed geometry, computed with PBE.

Computed properties:
- SG = C2/m
- relative energy among the computed polymorphs (meV/atom) = 85
- E_form (eV/atom) = -0.266

Cell and atoms, written as POSCAR:
```
Pt2W
1.0
5.195 -1.400 0.000
5.195 1.400 0.000
-1.736 0.000 6.454
Pt W
4 2
direct
0.136 0.136 0.033
0.184 0.184 0.629
0.816 0.816 0.371
0.864 0.864 0.967
0.474 0.474 0.697
0.526 0.526 0.303
```